# 1
# PBE BaLaSb2, relaxed
# DOS at the Fermi energy = 1.38 states/eV/atom
# Raw formation energy = -3.5 eV per formula unit
# Total DFT energy (no corrections) = -4.64 eV per atom
# M_tot = 0.0 μB/f.u.
# E above lowest polymorph = 139.6 meV/atom
data_BaLaSb2
_cell_length_a 8.196
_cell_length_b 8.196
_cell_length_c 8.196
_cell_angle_alpha 90.00
_cell_angle_beta 90.00
_cell_angle_gamma 90.00
_space_group_name_H-M_alt 'F m -3 m'
_space_group_IT_number 225
_space_group_name_Hall '-F 4 2 3'
loop_
_atom_site_label
_atom_site_fract_x
_atom_site_fract_y
_atom_site_fract_z
Ba1 0.000 0.000 0.000
La1 0.000 0.000 0.500
Sb1 0.250 0.250 0.250



# 2
# PBE Ba2LaSb, relaxed
# DOS at the Fermi energy = 1.56 states/eV/atom
# Raw formation energy = -0.8 eV per formula unit
# Total DFT energy (no corrections) = -3.42 eV per atom
# M_tot = 2.2 μB/f.u.
data_Ba2LaSb
_cell_length_a 4.6767
_cell_length_b 4.6767
_cell_length_c 32.8223
_cell_angle_alpha 90.00
_cell_angle_beta 90.00
_cell_angle_gamma 120.00
_space_group_name_H-M_alt 'R -3 m'
_space_group_IT_number 166
_space_group_name_Hall '-R 3 2"'
loop_
_atom_site_label
_atom_site_fract_x
_atom_site_fract_y
_atom_site_fract_z
Ba1 0.0000 0.0000 0.2275
La1 0.0000 0.0000 0.0000
Sb1 0.0000 0.0000 0.5000



# 3
# PBE BaLaSb2, relaxed
# DOS at the Fermi energy = 0.69 states/eV/atom
# Raw formation energy = -3.7 eV per formula unit
# Total DFT energy (no corrections) = -4.70 eV per atom
# M_tot = 0.0 μB/f.u.
# E above lowest polymorph = 75.1 meV/atom
data_BaLaSb2
_cell_length_a 12.537
_cell_length_b 4.587
_cell_length_c 5.046
_cell_angle_alpha 90.00
_cell_angle_beta 96.06
_cell_angle_gamma 90.00
_space_group_name_H-M_alt 'C 1 m 1'
_space_group_IT_number 8
loop_
_space_group_symop_operation_xyz
'x,y,z'
'x,-y,z'
'x+1/2,y+1/2,z'
'x+1/2,-y+1/2,z'
loop_
_atom_site_label
_atom_site_fract_x
_atom_site_fract_y
_atom_site_fract_z
Ba1 0.000 0.000 0.000
La1 0.249 0.500 0.524
Sb1 0.268 0.000 0.043
Sb2 0.470 0.000 0.488



# 4
# PBE BaLa3Sb, relaxed
# DOS at the Fermi energy = 1.15 states/eV/atom
# Raw formation energy = 3.0 eV per formula unit
# Total DFT energy (no corrections) = -3.57 eV per atom
# M_tot = 0.0 μB/f.u.
# E above lowest polymorph = 755.9 meV/atom
data_BaLa3Sb
_cell_length_a 5.817
_cell_length_b 5.817
_cell_length_c 5.817
_cell_angle_alpha 90.00
_cell_angle_beta 90.00
_cell_angle_gamma 90.00
_space_group_name_H-M_alt 'P m -3 m'
_space_group_IT_number 221
_space_group_name_Hall '-P 4 2 3'
loop_
_atom_site_label
_atom_site_fract_x
_atom_site_fract_y
_atom_site_fract_z
Ba1 0.000 0.000 0.000
La1 0.000 0.000 0.500
Sb1 0.500 0.500 0.500



# 5
# PBE BaLaSb2, relaxed
# DOS at the Fermi energy = 1.13 states/eV/atom
# Raw formation energy = -4.0 eV per formula unit
# Total DFT energy (no corrections) = -4.78 eV per atom
# M_tot = 0.0 μB/f.u.
# E above lowest polymorph = 0.0 meV/atom
data_BaLaSb2
_cell_length_a 4.7726
_cell_length_b 4.7726
_cell_length_c 24.0175
_cell_angle_alpha 90.00
_cell_angle_beta 90.00
_cell_angle_gamma 120.00
_space_group_name_H-M_alt 'R -3 m'
_space_group_IT_number 166
_space_group_name_Hall '-R 3 2"'
loop_
_atom_site_label
_atom_site_fract_x
_atom_site_fract_y
_atom_site_fract_z
Ba1 0.0000 0.0000 0.0000
La1 0.0000 0.0000 0.5000
Sb1 0.0000 0.0000 0.2404



# 6
# PBE Ba2LaSb, relaxed
# DOS at the Fermi energy = 1.06 states/eV/atom
# Raw formation energy = -1.9 eV per formula unit
# Total DFT energy (no corrections) = -3.69 eV per atom
# M_tot = 1.4 μB/f.u.
data_Ba2LaSb
_cell_length_a 4.6300
_cell_length_b 4.6300
_cell_length_c 33.6570
_cell_angle_alpha 90.00
_cell_angle_beta 90.00
_cell_angle_gamma 120.00
_space_group_name_H-M_alt 'R 3 m'
_space_group_IT_number 160
_space_group_name_Hall 'R 3 -2"'
loop_
_atom_site_label
_atom_site_fract_x
_atom_site_fract_y
_atom_site_fract_z
Ba1 0.0000 0.0000 0.0000
Ba2 0.0000 0.0000 0.2138
La1 0.0000 0.0000 0.7655
Sb1 0.0000 0.0000 0.4826